Entry 1:
The following is a PBE calculation of LiTm4Ni after structural relaxation, from Alexandria.

Summary:
Space-group type: I4_1md, No. 109
Fermi-level density of states in states/eV/f.u.: 8.01
Calculated formation energy in eV/f.u.: 0.95

Cell lengths 7.735, 7.735, 7.735 Å; angles 102.02, 102.02, 125.69 degrees
Positions (direct):
Li: 0.000 0.000 0.000
Li: 0.750 0.250 0.500
Tm: 0.180 0.435 0.745
Tm: 0.185 0.430 0.245
Tm: 0.185 0.940 0.755
Tm: 0.230 0.919 0.312
Tm: 0.607 0.919 0.688
Tm: 0.669 0.480 0.812
Tm: 0.669 0.857 0.188
Tm: 0.690 0.435 0.255
Ni: 0.126 0.626 0.500
Ni: 0.376 0.376 0.000

***

Entry 2:
The following is a PBE calculation of Li2TmNi9 after structural relaxation, from Alexandria.

Summary:
Space-group type: R-3m, No. 166
Fermi-level density of states in states/eV/f.u.: 13.27
Calculated formation energy in eV/f.u.: -1.99

Cell lengths 8.275, 8.275, 8.275 Å; angles 33.70, 33.70, 33.70 degrees
Positions (direct):
Li: 0.145 0.145 0.145
Li: 0.855 0.855 0.855
Tm: 0.000 0.000 0.000
Ni: 0.083 0.586 0.586
Ni: 0.333 0.333 0.333
Ni: 0.414 0.414 0.917
Ni: 0.414 0.917 0.414
Ni: 0.500 0.500 0.500
Ni: 0.586 0.083 0.586
Ni: 0.586 0.586 0.083
Ni: 0.667 0.667 0.667
Ni: 0.917 0.414 0.414

***

Entry 3:
The following is a PBE calculation of LiTm2Ni9 after structural relaxation, from Alexandria.

Summary:
Space-group type: R-3m, No. 166
Fermi-level density of states in states/eV/f.u.: 12.71
Calculated formation energy in eV/f.u.: -3.03

Cell lengths 8.424, 8.424, 8.424 Å; angles 33.85, 33.85, 33.85 degrees
Positions (direct):
Li: 0.000 0.000 0.000
Tm: 0.135 0.135 0.135
Tm: 0.865 0.865 0.865
Ni: 0.080 0.583 0.583
Ni: 0.333 0.333 0.333
Ni: 0.417 0.417 0.920
Ni: 0.417 0.920 0.417
Ni: 0.500 0.500 0.500
Ni: 0.583 0.080 0.583
Ni: 0.583 0.583 0.080
Ni: 0.667 0.667 0.667
Ni: 0.920 0.417 0.417

***

Question: What is the calculated formation energy in the first record?
Answer: 0.95 eV/f.u.

***

What did the first record say?
The following is a PBE calculation of LiTm4Ni after structural relaxation, from Alexandria.

Summary:
Space-group type: I4_1md, No. 109
Fermi-level density of states in states/eV/f.u.: 8.01
Calculated formation energy in eV/f.u.: 0.95

Cell lengths 7.735, 7.735, 7.735 Å; angles 102.02, 102.02, 125.69 degrees
Positions (direct):
Li: 0.000 0.000 0.000
Li: 0.750 0.250 0.500
Tm: 0.180 0.435 0.745
Tm: 0.185 0.430 0.245
Tm: 0.185 0.940 0.755
Tm: 0.230 0.919 0.312
Tm: 0.607 0.919 0.688
Tm: 0.669 0.480 0.812
Tm: 0.669 0.857 0.188
Tm: 0.690 0.435 0.255
Ni: 0.126 0.626 0.500
Ni: 0.376 0.376 0.000